# 1
AcY5Er: optimized geometry, GGA-PBE.

a b c (Å): 7.094 8.624 8.624
angles (deg): 98.77 102.35 102.35
Element x y z (fractional)
Ac: 0.250 0.655 0.845
Ac: 0.750 0.345 0.155
Y: 0.534 0.897 0.655
Y: 0.860 0.266 0.722
Y: 0.640 0.778 0.234
Y: 0.360 0.222 0.766
Y: 0.250 0.388 0.112
Y: 0.466 0.103 0.345
Y: 0.140 0.734 0.278
Y: 0.966 0.845 0.603
Y: 0.750 0.612 0.888
Y: 0.034 0.155 0.397
Er: 0.500 0.500 0.500
Er: 0.000 0.000 0.000

Calculated values
Total DFT energy (no corrections), eV per atom: -5.65
Energy of formation from the pure elements, kJ/mol of atoms: 20
Spin magnetization, μB per formula unit: 0.000

=====

# 2
AcTmPdPt: optimized geometry, GGA-PBE.

a b c (Å): 4.722 4.722 5.922
angles (deg): 113.46 90.00 120.00
Element x y z (fractional)
Pd: 0.835 0.670 0.147
Tm: 0.115 0.230 0.987
Pt: 0.399 0.798 0.839
Ac: 0.618 0.235 0.495

Calculated values
Total DFT energy (no corrections), eV per atom: -5.94
E above lowest polymorph, eV per atom: 0.000
Energy of formation from the pure elements, kJ/mol of atoms: -95
Spin magnetization, μB per formula unit: 0.000

=====

# 3
PbAuI2O: optimized geometry, GGA-PBE.

a b c (Å): 5.986 5.986 4.014
angles (deg): 90.00 90.00 90.00
Element x y z (fractional)
I: 0.500 0.000 0.000
I: 0.000 0.500 0.000
Au: 0.000 0.000 0.000
O: 0.000 0.000 0.500
Pb: 0.500 0.500 0.500

Calculated values
Total DFT energy (no corrections), eV per atom: -2.99
E_form (uncorrected), eV per atom: 0.023
E above lowest polymorph, eV per atom: 0.000
Spin magnetization, μB per formula unit: 0.498

=====

# 4
As4Rh5: optimized geometry, GGA-PBE.

a b c (Å): 3.567 6.802 6.804
angles (deg): 86.03 74.78 74.79
Element x y z (fractional)
As: 0.266 0.782 0.686
As: 0.734 0.218 0.314
As: 0.049 0.686 0.218
As: 0.951 0.314 0.782
Rh: 0.000 0.000 0.000
Rh: 0.377 0.902 0.346
Rh: 0.722 0.654 0.902
Rh: 0.623 0.098 0.654
Rh: 0.278 0.346 0.098

Calculated values
Total DFT energy (no corrections), eV per atom: -6.52
Energy of formation from the pure elements, kJ/mol of atoms: -36
Spin magnetization, μB per formula unit: 0.000

=====

# 5
Mn2CoOs2: optimized geometry, GGA-PBE.

a b c (Å): 4.584 4.584 3.911
angles (deg): 64.71 64.71 62.08
Element x y z (fractional)
Os: 0.697 0.697 0.803
Os: 0.303 0.303 0.197
Co: 0.000 0.000 0.000
Mn: 0.722 0.278 0.500
Mn: 0.278 0.722 0.500

Calculated values
Total DFT energy (no corrections), eV per atom: -9.29
E above lowest polymorph, eV per atom: 0.000
Energy of formation from the pure elements, kJ/mol of atoms: 28
Spin magnetization, μB per formula unit: 0.000

=====

# 6
In3AsOs: optimized geometry, GGA-PBE.

a b c (Å): 5.221 5.221 5.221
angles (deg): 90.00 90.00 90.00
Element x y z (fractional)
As: 0.000 0.000 0.000
In: 0.500 0.000 0.000
In: 0.000 0.000 0.500
In: 0.000 0.500 0.000
Os: 0.500 0.500 0.500

Calculated values
Total DFT energy (no corrections), eV per atom: -3.43
E above lowest polymorph, eV per atom: 0.813
Energy of formation from the pure elements, kJ/mol of atoms: 134
Spin magnetization, μB per formula unit: 2.163

=====

> Look up the spin magnetization of the third one.

0.498 μB per formula unit